(1)
Density functional theory data (GGA-PBE) for CoAsP2 after structural relaxation.

Summary:
As for the energy relative to the elements: 0.24 eV per atom. The space group is P4mm (99).

Structure (POSCAR):
```
CoAsP2
1.0
2.686 0.000 0.000
0.000 2.686 0.000
0.000 0.000 8.408
Co As P
1 1 2
Cartesian
0.000 0.000 0.000
1.343 1.343 6.631
0.000 0.000 3.617
1.343 1.343 1.345
```

(2)
Density functional theory data (GGA-PBE) for LiVSe3 after structural relaxation.

Summary:
As for the formation energy without anion corrections: -6.76 kcal/mol of atoms. Its offset from the most stable computed form is 217 kJ/mol of formula units. The space group is R3m (160).

Structure (POSCAR):
```
LiVSe3
1.0
6.990 0.000 0.000
-3.495 6.053 0.000
0.000 0.000 10.832
Li V Se
3 3 9
Cartesian
0.000 0.000 0.000
0.000 4.036 7.222
3.495 2.018 3.611
0.000 0.000 8.013
0.000 4.036 4.402
3.495 2.018 0.791
0.000 2.036 8.976
-1.732 5.035 8.976
1.732 1.000 1.754
3.495 0.018 5.365
1.763 3.018 5.365
1.732 5.035 8.976
5.258 1.000 1.754
3.495 4.053 1.754
5.227 3.018 5.365
```

(3)
Density functional theory data (GGA-PBE) for Sc2As after structural relaxation.

Summary:
As for the energy relative to the elements: -0.67 eV per atom. The space group is P4/mmm (123).

Structure (POSCAR):
```
Sc2As
1.0
4.364 0.000 0.000
0.000 4.364 0.000
0.000 0.000 3.576
Sc As
2 1
Cartesian
0.000 2.182 0.000
2.182 0.000 0.000
0.000 0.000 1.788
```

(4)
Density functional theory data (GGA-PBE) for Ca3BeB after structural relaxation.

Summary:
As for the energy relative to the elements: 0.58 eV per atom. Its offset from the most stable computed form is 0 kJ/mol of formula units. The space group is Pm-3m (221).

Structure (POSCAR):
```
Ca3BeB
1.0
5.210 0.000 0.000
0.000 5.210 0.000
0.000 0.000 5.210
Ca Be B
3 1 1
Cartesian
0.000 0.000 2.605
0.000 2.605 0.000
2.605 0.000 0.000
2.605 2.605 2.605
0.000 0.000 0.000
```

(5)
Density functional theory data (GGA-PBE) for La2MgS4 after structural relaxation.

Summary:
As for the formation energy without anion corrections: -43.02 kcal/mol of atoms. Its offset from the most stable computed form is 44 kJ/mol of formula units. The space group is Fd-3m (227).

Structure (POSCAR):
```
La2MgS4
1.0
0.000 5.830 5.830
5.830 0.000 5.830
5.830 5.830 0.000
La Mg S
4 2 8
Cartesian
0.000 0.000 0.000
2.915 2.915 0.000
2.915 0.000 2.915
0.000 2.915 2.915
4.372 4.372 4.372
7.287 7.287 7.287
8.767 5.808 5.808
2.893 2.893 2.893
5.852 5.852 2.893
5.852 2.893 5.852
5.808 8.767 5.808
5.808 5.808 8.767
8.767 8.767 8.767
2.893 5.852 5.852
```

(6)
Density functional theory data (GGA-PBE) for Pm4CdGaAu2 after structural relaxation.

Summary:
As for the energy relative to the elements: -0.58 eV per atom. The space group is R-3m (166).

Structure (POSCAR):
```
Pm4CdGaAu2
1.0
2.620 1.513 8.729
-2.620 1.513 8.729
0.000 -3.025 8.729
Pm Cd Ga Au
4 1 1 2
Cartesian
0.000 0.000 3.136
0.000 0.000 9.721
0.000 0.000 16.466
0.000 0.000 23.051
0.000 0.000 13.094
0.000 0.000 0.000
0.000 0.000 6.263
0.000 0.000 19.924
```

(7)
Density functional theory data (GGA-PBE) for TiGePb2 after structural relaxation.

Summary:
As for the energy relative to the elements: 0.42 eV per atom. The space group is I-42d (122).

Structure (POSCAR):
```
TiGePb2
1.0
8.126 0.000 0.000
0.000 8.126 0.000
0.000 0.000 6.042
Ti Ge Pb
4 4 8
Cartesian
0.000 0.000 0.000
0.000 4.063 1.510
4.063 0.000 4.531
4.063 4.063 3.021
0.000 0.000 3.021
0.000 4.063 4.531
4.063 0.000 1.510
4.063 4.063 0.000
1.977 2.031 0.755
2.031 6.040 2.266
2.031 6.149 5.287
2.086 2.031 3.776
6.040 6.094 3.776
6.094 1.977 5.287
6.094 2.086 2.266
6.149 6.094 0.755
```

(8)
Density functional theory data (GGA-PBE) for KCd2 after structural relaxation.

Summary:
As for the energy relative to the elements: -0.04 eV per atom. The space group is I4/mmm (139).

Structure (POSCAR):
```
KCd2
1.0
4.003 0.000 0.000
0.000 4.003 0.000
0.000 0.000 12.333
K Cd
2 4
Cartesian
0.000 0.000 0.000
2.002 2.002 6.167
0.000 0.000 3.654
0.000 0.000 8.680
2.002 2.002 2.513
2.002 2.002 9.820
```

(9)
Density functional theory data (GGA-PBE) for LaCd2Pb after structural relaxation.

Summary:
As for the energy relative to the elements: -0.05 eV per atom. The space group is R-3m (166).

Structure (POSCAR):
```
LaCd2Pb
1.0
3.430 0.000 0.000
-1.715 2.970 0.000
0.000 0.000 33.896
La Cd Pb
3 6 3
Cartesian
0.000 0.000 0.000
0.000 1.980 22.597
1.715 0.990 11.299
0.000 0.000 8.475
0.000 0.000 25.420
0.000 1.980 14.122
0.000 1.980 31.073
1.715 0.990 2.823
1.715 0.990 19.774
0.000 0.000 16.948
0.000 1.980 5.649
1.715 0.990 28.247
```

(10)
Density functional theory data (GGA-PBE) for Li2CeSmSe4 after structural relaxation.

Summary:
As for the formation energy without anion corrections: -37.72 kcal/mol of atoms. The space group is P2/m (10).

Structure (POSCAR):
```
Li2CeSmSe4
1.0
6.935 0.000 0.000
0.000 4.188 0.000
-2.518 0.000 6.796
Li Ce Sm Se
2 1 1 4
Cartesian
0.000 0.000 0.000
-1.259 2.094 3.398
2.209 0.000 3.398
3.468 2.094 0.000
1.054 2.094 1.665
-0.210 0.000 5.095
4.627 0.000 1.701
3.364 2.094 5.131
```

(11)
Density functional theory data (GGA-PBE) for Ba4Co after structural relaxation.

Summary:
As for the energy relative to the elements: 0.24 eV per atom. Its offset from the most stable computed form is 0 kJ/mol of formula units. The space group is Pm-3m (221).

Structure (POSCAR):
```
Ba4Co
1.0
6.294 0.000 0.000
0.000 6.294 0.000
0.000 0.000 6.294
Ba Co
4 1
Cartesian
0.000 0.000 0.000
0.000 3.147 3.147
3.147 0.000 3.147
3.147 3.147 0.000
3.147 3.147 3.147
```

(12)
Density functional theory data (GGA-PBE) for VNiS after structural relaxation.

Summary:
As for the formation energy without anion corrections: 0.58 kcal/mol of atoms. Its offset from the most stable computed form is 141 kJ/mol of formula units. The space group is I4mm (107).

Structure (POSCAR):
```
VNiS
1.0
2.916 0.000 0.000
0.000 2.916 0.000
0.000 0.000 11.094
V Ni S
2 2 2
Cartesian
0.000 0.000 0.000
1.458 1.458 5.547
0.000 0.000 8.951
1.458 1.458 3.404
0.000 0.000 6.651
1.458 1.458 1.104
```

These records have E values of -21.6, -68.9, -19.3, -13.5, -82.0, -34.1, -73.0, -6.1, -32.0, -41.5, -13.6, -37.9 eV for the cell shown, in the order they appear.